Record 1
The following is a GGA-PBE calculation of a geometry-optimized Y2HoEr3S6 structure, from Alexandria via LeMat-Bulk.

The total magnetization is 0.00 μB per cell. As for the crystal system: monoclinic. For the energy, the calculation gives -6.635 eV/atom. Its uncorrected formation energy is -1972 meV per atom.

It has space group C2/m (No. 12), with a = 16.923 Å, b = 3.876 Å, c = 7.800 Å, α = 90.00°, β = 103.53° and γ = 90.00°. Symmetry generates all atoms from Y at (0.167, 0.000, 0.333), Ho at (0.000, 0.500, 0.000), Er at (0.000, 0.500, 0.500), Er at (0.167, 0.000, 0.833), S at (0.001, 0.000, 0.749), S at (0.166, 0.500, 0.586) and S at (0.167, 0.500, 0.080).

***

Record 2
The following is a GGA-PBE calculation of a geometry-optimized NbTl3Pd2S6 structure, from Alexandria via LeMat-Bulk.

The total magnetization is 0.01 μB per cell. As for the crystal system: monoclinic. For the energy, the calculation gives -4.719 eV/atom. Its uncorrected formation energy is -359 meV per atom.

It has space group C2/m (No. 12), with a = 6.416 Å, b = 11.113 Å, c = 7.681 Å, α = 90.00°, β = 106.19° and γ = 90.00°. Symmetry generates all atoms from Nb at (0.000, 0.000, 0.000), Tl at (0.000, 0.165, 0.500), Tl at (0.000, 0.500, 0.500), Pd at (0.000, 0.334, 0.000), S at (0.224, 0.166, 0.179) and S at (0.229, 0.500, 0.179).

***

Record 3
The following is a GGA-PBE calculation of a geometry-optimized CePrSiAg structure, from Alexandria via LeMat-Bulk.

The total magnetization is 6.91 μB per cell. As for the crystal system: cubic. For the energy, the calculation gives -5.067 eV/atom. Its uncorrected formation energy is -320 meV per atom.

It has space group F-43m (No. 216), with a = 7.391 Å, b = 7.391 Å, c = 7.391 Å, α = 90.00°, β = 90.00° and γ = 90.00°. Symmetry generates all atoms from Ce at (0.000, 0.000, 0.000), Pr at (0.000, 0.000, 0.500), Si at (0.250, 0.250, 0.750) and Ag at (0.250, 0.250, 0.250).